{"formula": "KY2Cu", "functional": "GGA-PBE", "state": "optimized geometry", "lattice_angstrom": [[6.071, -0.001, 0.000], [2.212, 5.654, 0.000], [-4.142, -2.826, 3.423]], "species": ["Cu", "K", "Y", "Y"], "fractional_positions": [[0.250, 0.750, 0.500], [0.750, 0.250, 0.500], [0.000, 0.000, 0.000], [0.500, 0.500, 0.000]], "e_tot_ev_per_cell": -15.7, "magmom_total_mub_per_cell": 0.145, "e_above_lowest_polymorph_mev_per_atom": 497.2, "sg": "I4/mmm (139)"}

{"formula": "TlCuTe2", "functional": "GGA-PBE", "state": "optimized geometry", "lattice_angstrom": [[-6.322, 1.127, -0.871], [-1.825, -2.568, 9.918], [0.930, 6.683, 1.902]], "species": ["Tl", "Tl", "Tl", "Tl", "Te", "Te", "Te", "Te", "Te", "Te", "Te", "Te", "Cu", "Cu", "Cu", "Cu"], "fractional_positions": [[0.846, 0.851, 0.066], [0.154, 0.149, 0.566], [0.654, 0.351, 0.566], [0.346, 0.649, 0.066], [0.324, 0.978, 0.113], [0.676, 0.022, 0.613], [0.176, 0.478, 0.613], [0.824, 0.522, 0.113], [0.999, 0.823, 0.605], [0.001, 0.177, 0.105], [0.501, 0.323, 0.105], [0.499, 0.677, 0.605], [0.139, 0.395, 0.965], [0.861, 0.605, 0.465], [0.361, 0.895, 0.465], [0.639, 0.105, 0.965]], "e_tot_ev_per_cell": -52.4, "magmom_total_mub_per_cell": 0.000, "formation_energy_uncorrected_kj_per_mol_atoms": -8.56, "sg": "Pna2_1 (33)"}

{"formula": "Rb6SnI8", "functional": "GGA-PBE", "state": "optimized geometry", "lattice_angstrom": [[0.022, 0.770, 9.578], [8.865, -1.177, 3.515], [3.742, 8.411, 2.756]], "species": ["Rb", "Rb", "Rb", "Rb", "Rb", "Rb", "Sn", "I", "I", "I", "I", "I", "I", "I", "I"], "fractional_positions": [[0.060, 0.479, 0.696], [0.304, 0.940, 0.521], [0.521, 0.304, 0.940], [0.479, 0.696, 0.060], [0.696, 0.060, 0.479], [0.940, 0.521, 0.304], [0.000, 0.000, 0.000], [0.163, 0.677, 0.904], [0.096, 0.837, 0.323], [0.323, 0.096, 0.837], [0.658, 0.658, 0.658], [0.342, 0.342, 0.342], [0.677, 0.904, 0.163], [0.904, 0.163, 0.677], [0.837, 0.323, 0.096]], "e_tot_ev_per_cell": -41.4, "magmom_total_mub_per_cell": 0.000, "formation_energy_uncorrected_kj_per_mol_atoms": -123.47, "sg": "R-3 (148)"}

{"formula": "La2HfH", "functional": "GGA-PBE", "state": "optimized geometry", "lattice_angstrom": [[3.311, 0.000, 0.000], [1.656, 2.868, 0.000], [1.656, 0.956, 9.563]], "species": ["H", "Hf", "La", "La"], "fractional_positions": [[0.500, 0.500, 0.500], [0.000, 0.000, 0.000], [0.109, 0.109, 0.673], [0.891, 0.891, 0.327]], "e_tot_ev_per_cell": -22.5, "magmom_total_mub_per_cell": 0.001, "e_above_lowest_polymorph_mev_per_atom": 0.0, "sg": "R-3m (166)"}

{"formula": "KIn2Sn3", "functional": "GGA-PBE", "state": "optimized geometry", "lattice_angstrom": [[-5.238, 0.521, 0.573], [-2.813, -7.309, 5.396], [-1.668, -1.432, 10.523]], "species": ["K", "K", "In", "In", "In", "In", "Sn", "Sn", "Sn", "Sn", "Sn", "Sn"], "fractional_positions": [[0.886, 0.054, 0.175], [0.114, 0.946, 0.825], [0.472, 0.229, 0.828], [0.528, 0.771, 0.172], [0.765, 0.819, 0.651], [0.235, 0.181, 0.349], [0.295, 0.469, 0.941], [0.938, 0.461, 0.663], [0.626, 0.271, 0.477], [0.374, 0.729, 0.523], [0.062, 0.539, 0.337], [0.705, 0.531, 0.059]], "e_tot_ev_per_cell": -38.1, "magmom_total_mub_per_cell": 0.000, "e_above_lowest_polymorph_mev_per_atom": 0.0, "sg": "C2/m (12)"}

{"formula": "La7Sm3Dy", "functional": "GGA-PBE", "state": "optimized geometry", "lattice_angstrom": [[-2.256, 8.441, -0.959], [-7.066, -1.872, 0.149], [3.480, 1.637, 6.218]], "species": ["La", "La", "La", "La", "La", "La", "La", "Sm", "Sm", "Sm", "Dy"], "fractional_positions": [[0.107, 0.166, 0.834], [0.107, 0.166, 0.331], [0.129, 0.667, 0.333], [0.459, 0.835, 0.165], [0.459, 0.331, 0.165], [0.459, 0.835, 0.669], [0.107, 0.669, 0.834], [0.782, 0.500, 0.500], [0.782, 0.500, 0.999], [0.782, 0.001, 0.500], [0.442, 0.333, 0.667]], "e_tot_ev_per_cell": -51.5, "magmom_total_mub_per_cell": 0.000, "sg": "P3m1 (156)"}

{"formula": "NaC", "functional": "GGA-PBE", "state": "optimized geometry", "lattice_angstrom": [[10.015, 0.000, 0.000], [0.000, 10.015, 0.000], [0.000, 0.000, 2.612]], "species": ["Na", "Na", "Na", "Na", "Na", "Na", "Na", "Na", "C", "C", "C", "C", "C", "C", "C", "C"], "fractional_positions": [[0.731, 0.500, 0.000], [0.269, 0.500, 0.000], [0.500, 0.269, 0.000], [0.500, 0.731, 0.000], [0.231, 0.000, 0.500], [0.769, 0.000, 0.500], [0.000, 0.769, 0.500], [0.000, 0.231, 0.500], [0.231, 0.231, 0.000], [0.231, 0.769, 0.000], [0.769, 0.231, 0.000], [0.769, 0.769, 0.000], [0.731, 0.731, 0.500], [0.731, 0.269, 0.500], [0.269, 0.731, 0.500], [0.269, 0.269, 0.500]], "e_tot_ev_per_cell": -76.8, "magmom_total_mub_per_cell": 0.000, "e_above_lowest_polymorph_mev_per_atom": 239.9, "sg": "I4/mmm (139)"}

{"formula": "CaTl4Bi", "functional": "GGA-PBE", "state": "optimized geometry", "lattice_angstrom": [[1.463, -9.037, 3.869], [3.131, -7.440, -5.797], [9.232, -3.538, 1.009]], "species": ["Ca", "Tl", "Tl", "Tl", "Tl", "Bi"], "fractional_positions": [[0.750, 0.750, 0.750], [0.622, 0.133, 0.622], [0.622, 0.622, 0.133], [0.133, 0.622, 0.622], [0.622, 0.622, 0.622], [0.500, 0.500, 0.500]], "e_tot_ev_per_cell": -11.4, "magmom_total_mub_per_cell": 3.081, "e_above_lowest_polymorph_mev_per_atom": 713.7, "sg": "F-43m (216)"}

So what do the calculations give for calculated volume? Going down the list: 117 118 747 91 184 407 33 694 Å³/f.u..